--- A ---
PmAsAu after structural relaxation. Source: Alexandria via LeMat-Bulk, functional PBE.

Cell: 4.3777 5.6368 6.5654 Å, 81.01 90.00 112.85°
Fractional coordinates of all 6 atoms:
Pm  0.1166  0.2333  0.2400
Pm  0.8834  0.7667  0.7600
Au  0.3966  0.7932  0.3957
Au  0.6034  0.2068  0.6043
As  0.1760  0.3519  0.7845
As  0.8240  0.6481  0.2155

Summary:
Fermi-level density of states (states/eV/atom): 0.0857

***

--- B ---
PmAsAu after structural relaxation. Source: Alexandria via LeMat-Bulk, functional PBE.

Cell: 4.0233 4.0233 5.2447 Å, 112.55 112.55 90.00°
Fractional coordinates of all 3 atoms:
As  0.2675  0.2675  0.5351
Au  0.9586  0.9586  0.9171
Pm  0.6239  0.6239  0.2478

Summary:
Fermi-level density of states (states/eV/atom): 0.5112

***

The structure with the least stability is B.

***

--- A ---
Pm2AsAu after structural relaxation. Source: Alexandria via LeMat-Bulk, functional PBE.

Cell: 4.1460 4.1460 7.7848 Å, 74.56 74.56 60.00°
Fractional coordinates of all 4 atoms:
Pm  0.0778  0.0778  0.7666
Pm  0.2559  0.2559  0.2322
As  0.6664  0.6664  0.0008
Au  0.4999  0.4999  0.5004

Summary:
Fermi-level density of states (states/eV/atom): 0.4843

***

--- B ---
Pm2AsAu after structural relaxation. Source: Alexandria via LeMat-Bulk, functional PBE.

Cell: 3.7391 3.7391 7.0685 Å, 90.00 90.00 90.00°
Fractional coordinates of all 4 atoms:
As  0.5000  0.5000  0.5000
Au  0.5000  0.5000  0.0000
Pm  0.0000  0.0000  0.7394
Pm  0.0000  0.0000  0.2606

Summary:
Fermi-level density of states (states/eV/atom): 0.6702

***

The structure with the least stability is B.

***

--- A ---
Pm2AsAu after structural relaxation. Source: Alexandria via LeMat-Bulk, functional PBE.

Cell: 4.2948 4.1289 12.2945 Å, 99.67 90.00 90.00°
Fractional coordinates of all 8 atoms:
Pm  0.7500  0.6891  0.3782
Pm  0.2500  0.3109  0.6218
Pm  0.7500  0.9304  0.8608
Pm  0.2500  0.0696  0.1392
As  0.2500  0.1890  0.3780
As  0.7500  0.8110  0.6220
Au  0.2500  0.4571  0.9143
Au  0.7500  0.5429  0.0857

Summary:
Fermi-level density of states (states/eV/atom): 0.5701

***

--- B ---
Pm2AsAu after structural relaxation. Source: Alexandria via LeMat-Bulk, functional PBE.

Cell: 4.2083 4.2083 7.6203 Å, 73.97 73.97 60.00°
Fractional coordinates of all 4 atoms:
As  0.5000  0.5000  0.5000
Au  0.0000  0.0000  0.0000
Pm  0.7548  0.7548  0.7356
Pm  0.2452  0.2452  0.2644

Summary:
Fermi-level density of states (states/eV/atom): 1.2096

***

The structure with the least stability is B.

***

--- A ---
AsPt2Au2 after structural relaxation. Source: Alexandria via LeMat-Bulk, functional PBE.

Cell: 6.6022 6.6022 4.1653 Å, 90.00 90.00 90.00°
Fractional coordinates of all 10 atoms:
As  0.0000  0.0000  0.0000
As  0.5000  0.5000  0.0000
Au  0.1534  0.6534  0.5000
Au  0.6534  0.8466  0.5000
Au  0.8466  0.3466  0.5000
Au  0.3466  0.1534  0.5000
Pt  0.3493  0.8493  0.0000
Pt  0.8493  0.6507  0.0000
Pt  0.6507  0.1507  0.0000
Pt  0.1507  0.3493  0.0000

Summary:
Fermi-level density of states (states/eV/atom): 0.5098

***

--- B ---
AsPt2Au2 after structural relaxation. Source: Alexandria via LeMat-Bulk, functional PBE.

Cell: 7.3987 7.3987 7.3987 Å, 150.90 150.90 41.62°
Fractional coordinates of all 5 atoms:
As  0.0000  0.0000  0.0000
Pt  0.2500  0.7500  0.5000
Pt  0.7500  0.2500  0.5000
Au  0.5986  0.5986  0.0000
Au  0.4014  0.4014  0.0000

Summary:
Fermi-level density of states (states/eV/atom): 0.6888

***

The structure with the least stability is B.

***

--- A ---
Pu2AsAu after structural relaxation. Source: Alexandria via LeMat-Bulk, functional PBE.

Cell: 4.1442 4.1442 7.5637 Å, 74.10 74.10 60.00°
Site moments in Bohr magnetons follow the coordinates.
Fractional coordinates of all 4 atoms:
As  0.0000  0.0000  0.0000  -0.11
Au  0.5000  0.5000  0.5000  0.07
Pu  0.2551  0.2551  0.2347  5.39
Pu  0.7449  0.7449  0.7653  5.39

Summary:
Fermi-level density of states (states/eV/atom): 5.7032

***

--- B ---
Pu2AsAu after structural relaxation. Source: Alexandria via LeMat-Bulk, functional PBE.

Cell: 3.6253 3.6253 7.0400 Å, 90.00 90.00 90.00°
Site moments in Bohr magnetons follow the coordinates.
Fractional coordinates of all 4 atoms:
As  0.5000  0.5000  0.0000  -0.15
Au  0.5000  0.5000  0.5000  0.05
Pu  0.0000  0.0000  0.7711  5.44
Pu  0.0000  0.0000  0.2289  5.44

Summary:
Fermi-level density of states (states/eV/atom): 3.8330

***

--- C ---
Pu2AsAu after structural relaxation. Source: Alexandria via LeMat-Bulk, functional PBE.

Cell: 5.0904 5.0904 5.0904 Å, 60.00 60.00 60.00°
Site moments in Bohr magnetons follow the coordinates.
Fractional coordinates of all 4 atoms:
As  0.0000  0.0000  0.0000  -0.09
Au  0.5000  0.5000  0.5000  0.09
Pu  0.2500  0.2500  0.2500  5.56
Pu  0.7500  0.7500  0.7500  5.56

Summary:
Fermi-level density of states (states/eV/atom): 3.9118

***

The structure with the least stability is A.

***

--- A ---
RbAs3Au after structural relaxation. Source: Alexandria via LeMat-Bulk, functional PBE.

Cell: 5.6339 5.6339 5.6339 Å, 90.00 90.00 90.00°
Site moments in Bohr magnetons follow the coordinates.
Fractional coordinates of all 5 atoms:
As  0.0000  0.5000  0.0000  0.21
As  0.0000  0.0000  0.5000  0.21
As  0.5000  0.0000  0.0000  0.17
Au  0.5000  0.5000  0.5000  0.05
Rb  0.0000  0.0000  0.0000  0.04

Summary:
Fermi-level density of states (states/eV/atom): 1.3887

***

--- B ---
RbAs3Au after structural relaxation. Source: Alexandria via LeMat-Bulk, functional PBE.

Cell: 5.2356 5.2356 5.2356 Å, 90.00 90.00 90.00°
Fractional coordinates of all 5 atoms:
As  0.0000  0.5000  0.0000
As  0.0000  0.0000  0.5000
As  0.5000  0.0000  0.0000
Au  0.0000  0.0000  0.0000
Rb  0.5000  0.5000  0.5000

Summary:
Fermi-level density of states (states/eV/atom): 1.0273

***

The structure with the least stability is A.